No. 1
Here is a relaxed TiAl2V6 crystal from Alexandria. Energies are from PBE-GGA.

Results
The calculation puts the size of the total moment at 0.000 μB per cell. Its symmetry is C2/m, No. 12. The crystal system is monoclinic. The formation energy from the elements is -0.1128 eV/atom.

a b c (Å): 6.576 6.576 5.040
angles (deg): 109.79 109.79 39.20
Sites, in units of the cell vectors:
Ti  0.000  0.000  0.000
Al  0.121  0.121  0.571
Al  0.879  0.879  0.429
V  0.233  0.233  0.139
V  0.348  0.348  0.704
V  0.445  0.445  0.220
V  0.555  0.555  0.780
V  0.652  0.652  0.296
V  0.767  0.767  0.861

=====

No. 2
Here is a relaxed PmNdSiPt crystal from Alexandria. Energies are from PBE-GGA.

Results
The calculation puts the size of the total moment at 0.000 μB per cell. The value obtained for the polymorph energy (0 for the lowest one) is 0 meV/atom. Its symmetry is Amm2, No. 38. The crystal system is orthorhombic. For the formation energy (no corrections), the calculation gives -0.942 eV/atom.

a b c (Å): 4.231 5.896 5.896
angles (deg): 41.40 90.00 90.00
Sites, in units of the cell vectors:
Pm  0.000  0.000  0.000
Nd  0.500  0.281  0.281
Si  0.000  0.710  0.710
Pt  0.500  0.563  0.563

=====

No. 3
Here is a relaxed Na2SnS crystal from Alexandria. Energies are from PBE-GGA.

Results
The calculation puts the size of the total moment at 0.000 μB per cell. The value obtained for the polymorph energy (0 for the lowest one) is 412 meV/atom. Its symmetry is Fm-3m, No. 225. The crystal system is cubic. For the formation energy (no corrections), the calculation gives -0.172 eV/atom.

a b c (Å): 5.140 5.140 5.140
angles (deg): 60.00 60.00 60.00
Sites, in units of the cell vectors:
Na  0.250  0.250  0.250
Na  0.750  0.750  0.750
Sn  0.000  0.000  0.000
S  0.500  0.500  0.500

=====

No. 4
Here is a relaxed In2RuSe crystal from Alexandria. Energies are from PBE-GGA.

Results
The calculation puts the size of the total moment at 0.000 μB per cell. Its symmetry is Amm2, No. 38. The crystal system is orthorhombic. For the formation energy (no corrections), the calculation gives -0.007 eV/atom.

a b c (Å): 4.234 5.349 5.349
angles (deg): 42.56 90.00 90.00
Sites, in units of the cell vectors:
In  0.000  0.000  0.000
In  0.500  0.298  0.298
Ru  0.500  0.575  0.575
Se  0.000  0.719  0.719

=====

No. 5
Here is a relaxed AgRh2Cl crystal from Alexandria. Energies are from PBE-GGA.

Results
The calculation puts the size of the total moment at 0.000 μB per cell. The value obtained for the polymorph energy (0 for the lowest one) is 262 meV/atom. Its symmetry is P2/m, No. 10. The crystal system is monoclinic. For the formation energy (no corrections), the calculation gives 0.441 eV/atom.

a b c (Å): 2.959 4.127 5.344
angles (deg): 90.00 102.51 90.00
Sites, in units of the cell vectors:
Ag  0.000  0.000  0.000
Rh  0.386  0.500  0.730
Rh  0.614  0.500  0.270
Cl  0.500  0.000  0.500

=====

No. 6
Here is a relaxed Cs3MgHg4 crystal from Alexandria. Energies are from PBE-GGA.

Results
The calculation puts the size of the total moment at 0.000 μB per cell. Its symmetry is Imm2, No. 44. The crystal system is orthorhombic. The formation energy from the elements is -0.1178 eV/atom.

a b c (Å): 8.671 8.671 8.671
angles (deg): 122.51 80.34 129.08
Sites, in units of the cell vectors:
Cs  0.000  0.000  0.000
Cs  0.216  0.500  0.716
Cs  0.784  0.500  0.284
Mg  0.494  0.994  0.500
Hg  0.285  0.000  0.285
Hg  0.500  0.328  0.828
Hg  0.500  0.672  0.172
Hg  0.715  0.000  0.715

=====

No. 7
Here is a relaxed Nd5YTl3 crystal from Alexandria. Energies are from PBE-GGA.

Results
The calculation puts the size of the total moment at 3.420 μB per cell. Its symmetry is P6_3/mcm, No. 193. The crystal system is hexagonal. The formation energy from the elements is -0.2720 eV/atom.

a b c (Å): 9.618 9.618 6.930
angles (deg): 90.00 90.00 120.00
Sites, in units of the cell vectors:
Nd  0.000  0.341  0.250
Nd  0.000  0.659  0.750
Nd  0.333  0.667  0.000
Nd  0.333  0.667  0.500
Nd  0.341  0.000  0.250
Nd  0.341  0.341  0.750
Nd  0.659  0.000  0.750
Nd  0.659  0.659  0.250
Nd  0.667  0.333  0.000
Nd  0.667  0.333  0.500
Y  0.000  0.000  0.000
Y  0.000  0.000  0.500
Tl  0.000  0.322  0.750
Tl  0.000  0.678  0.250
Tl  0.322  0.000  0.750
Tl  0.322  0.322  0.250
Tl  0.678  0.000  0.250
Tl  0.678  0.678  0.750

=====

No. 8
Here is a relaxed TlZnPdO4 crystal from Alexandria. Energies are from PBE-GGA.

Results
The calculation puts the size of the total moment at 0.005 μB per cell. Its symmetry is Imma, No. 74. The crystal system is orthorhombic. For the formation energy (no corrections), the calculation gives -0.676 eV/atom.

a b c (Å): 6.388 6.388 6.388
angles (deg): 119.21 118.96 91.60
Sites, in units of the cell vectors:
Tl  0.500  0.000  0.000
Tl  0.500  0.500  0.500
Zn  0.117  0.367  0.750
Zn  0.883  0.633  0.250
Pd  0.000  0.000  0.000
Pd  0.500  0.000  0.500
O  0.233  0.232  0.001
O  0.243  0.220  0.477
O  0.243  0.766  0.023
O  0.268  0.768  0.501
O  0.732  0.232  0.499
O  0.757  0.234  0.977
O  0.757  0.780  0.523
O  0.767  0.768  0.999

=====

No. 9
Here is a relaxed RbSrHgTe2 crystal from Alexandria. Energies are from PBE-GGA.

Results
The calculation puts the size of the total moment at 0.000 μB per cell. Its symmetry is P2/c, No. 13. The crystal system is monoclinic. For the formation energy (no corrections), the calculation gives -0.832 eV/atom.

a b c (Å): 7.817 5.908 9.195
angles (deg): 90.00 96.89 90.00
Sites, in units of the cell vectors:
Rb  0.000  0.089  0.250
Rb  0.000  0.911  0.750
Sr  0.500  0.482  0.750
Sr  0.500  0.518  0.250
Hg  0.500  0.000  0.000
Hg  0.500  0.000  0.500
Te  0.213  0.363  0.978
Te  0.213  0.637  0.478
Te  0.787  0.363  0.522
Te  0.787  0.637  0.022

=====

No. 10
Here is a relaxed LiMg15In4 crystal from Alexandria. Energies are from PBE-GGA.

Results
The calculation puts the size of the total moment at 0.000 μB per cell. Its symmetry is P4/mmm, No. 123. The crystal system is tetragonal. The formation energy from the elements is -0.0705 eV/atom.

a b c (Å): 4.540 4.540 21.915
angles (deg): 90.00 90.00 90.00
Sites, in units of the cell vectors:
Li  0.000  0.000  0.000
Mg  0.000  0.500  0.097
Mg  0.000  0.500  0.298
Mg  0.000  0.500  0.500
Mg  0.000  0.500  0.702
Mg  0.000  0.500  0.903
Mg  0.500  0.000  0.097
Mg  0.500  0.000  0.298
Mg  0.500  0.000  0.500
Mg  0.500  0.000  0.702
Mg  0.500  0.000  0.903
Mg  0.500  0.500  0.000
Mg  0.500  0.500  0.197
Mg  0.500  0.500  0.399
Mg  0.500  0.500  0.601
Mg  0.500  0.500  0.803
In  0.000  0.000  0.197
In  0.000  0.000  0.399
In  0.000  0.000  0.601
In  0.000  0.000  0.803

=====

No. 11
Here is a relaxed LiHfZn2Pt crystal from Alexandria. Energies are from PBE-GGA.

Results
The calculation puts the size of the total moment at 0.000 μB per cell. Its symmetry is P4/mmm, No. 123. The crystal system is tetragonal. The formation energy from the elements is 0.3989 eV/atom.

a b c (Å): 4.175 4.175 4.817
angles (deg): 90.00 90.00 90.00
Sites, in units of the cell vectors:
Li  0.000  0.000  0.000
Hf  0.000  0.000  0.500
Zn  0.000  0.500  0.000
Zn  0.500  0.000  0.000
Pt  0.500  0.500  0.500

=====

No. 12
Here is a relaxed LiSmAl2Au4 crystal from Alexandria. Energies are from PBE-GGA.

Results
The calculation puts the size of the total moment at 0.000 μB per cell. Its symmetry is R-3m, No. 166. The crystal system is trigonal. The formation energy from the elements is -0.6387 eV/atom.

a b c (Å): 8.914 8.914 8.914
angles (deg): 29.08 29.08 29.08
Sites, in units of the cell vectors:
Li  0.000  0.000  0.000
Sm  0.500  0.500  0.500
Al  0.260  0.260  0.260
Al  0.740  0.740  0.740
Au  0.102  0.102  0.102
Au  0.367  0.367  0.367
Au  0.633  0.633  0.633
Au  0.898  0.898  0.898